A plane-wave DFT calculation with PBE-GGA was carried out for a relaxed La2ZrAs crystal.

Calculated values
DFT formation energy	-0.342	eV/atom
VASP energy	-6.105	eV/atom
total magnetization	0.0	μB per cell

```
4
Lattice="-4.4319 2.2436 -3.1495 -3.5313 -4.1171 -2.2747 2.1406 1.0428 5.3782" Properties=species:S:1:pos:R:3 pbc="T T T"
As -3.1364 1.1748 -0.2417
Zr -3.9816 -0.9368 -2.7121
La 0.0000 0.0000 0.0000
La -2.6861 -2.0055 0.1957
```